# 1
# Dy3Ga

A geometry-optimized Dy3Ga structure (PBEsol, the Alexandria database).

a b c (Å): 4.619 4.619 4.619
angles (deg): 90.00 90.00 90.00
Space group Pm-3m (No. 221)
Unique sites:
Dy  0.000  0.000  0.500
Ga  0.500  0.500  0.500

formation energy	-0.28	eV per atom
calculated volume	99	Å³/cell
uncorrected energy	-4.85	eV per atom
ρ	9.389	Mg/m³

---

# 2
# SrLaAg4

A geometry-optimized SrLaAg4 structure (PBEsol, the Alexandria database).

a b c (Å): 8.147 8.147 8.147
angles (deg): 90.00 90.00 90.00
Space group F-43m (No. 216)
Unique sites:
Sr  0.000  0.000  0.000
La  0.250  0.250  0.750
Ag  0.125  0.125  0.375

formation energy	-0.17	eV per atom
calculated volume	541	Å³/cell
uncorrected energy	-3.58	eV per atom
ρ	8.084	Mg/m³